The following is a GGA-PBE calculation of a relaxed Y3Mg5Rh2 crystal, from Alexandria.

```
data_Y3Mg5Rh2
_chemical_formula_sum 'Y6 Mg10 Rh4'
_space_group_name_H-M_alt 'P 1'
_space_group_IT_number 1
_space_group_name_Hall 'P 1'
_cell_length_a 9.478
_cell_length_b 9.478
_cell_length_c 9.478
_cell_angle_alpha 112.85
_cell_angle_beta 79.67
_cell_angle_gamma 142.28
loop_
_atom_site_label
_atom_site_type_symbol
_atom_site_fract_x
_atom_site_fract_y
_atom_site_fract_z
_atom_site_occupancy
Y1 Y 0.174 0.209 0.384 1
Y2 Y 0.250 0.250 0.000 1
Y3 Y 0.326 0.709 0.035 1
Y4 Y 0.674 0.291 0.965 1
Y5 Y 0.750 0.750 0.000 1
Y6 Y 0.826 0.791 0.616 1
Mg1 Mg 0.055 0.750 0.305 1
Mg2 Mg 0.072 0.723 0.795 1
Mg3 Mg 0.250 0.750 0.500 1
Mg4 Mg 0.428 0.223 0.651 1
Mg5 Mg 0.445 0.750 0.695 1
Mg6 Mg 0.555 0.250 0.305 1
Mg7 Mg 0.572 0.777 0.349 1
Mg8 Mg 0.750 0.250 0.500 1
Mg9 Mg 0.928 0.277 0.205 1
Mg10 Mg 0.945 0.250 0.695 1
Rh1 Rh 0.163 0.937 0.100 1
Rh2 Rh 0.337 0.437 0.774 1
Rh3 Rh 0.663 0.563 0.226 1
Rh4 Rh 0.837 0.063 0.900 1
```

Values from the calculation:
Energy relative to the elements, eV/atom: -0.296



The following is a GGA-PBE calculation of a relaxed Y2MgRh4 crystal, from Alexandria.

```
data_Y2MgRh4
_chemical_formula_sum 'Y2 Mg1 Rh4'
_space_group_name_H-M_alt 'P 1'
_space_group_IT_number 1
_space_group_name_Hall 'P 1'
_cell_length_a 7.950
_cell_length_b 7.950
_cell_length_c 7.950
_cell_angle_alpha 33.33
_cell_angle_beta 33.33
_cell_angle_gamma 33.33
loop_
_atom_site_label
_atom_site_type_symbol
_atom_site_fract_x
_atom_site_fract_y
_atom_site_fract_z
_atom_site_occupancy
Y1 Y 0.244 0.244 0.244 1
Y2 Y 0.756 0.756 0.756 1
Mg1 Mg 0.000 0.000 0.000 1
Rh1 Rh 0.121 0.121 0.121 1
Rh2 Rh 0.372 0.372 0.372 1
Rh3 Rh 0.628 0.628 0.628 1
Rh4 Rh 0.879 0.879 0.879 1
```

Values from the calculation:
Energy relative to the elements, eV/atom: -0.373



The following is a GGA-PBE calculation of a relaxed YMg4Rh crystal, from Alexandria.

```
data_YMg4Rh
_chemical_formula_sum 'Y2 Mg8 Rh2'
_space_group_name_H-M_alt 'P 1'
_space_group_IT_number 1
_space_group_name_Hall 'P 1'
_cell_length_a 8.727
_cell_length_b 4.170
_cell_length_c 7.334
_cell_angle_alpha 90.00
_cell_angle_beta 90.00
_cell_angle_gamma 90.00
loop_
_atom_site_label
_atom_site_type_symbol
_atom_site_fract_x
_atom_site_fract_y
_atom_site_fract_z
_atom_site_occupancy
Y1 Y 0.250 0.000 0.091 1
Y2 Y 0.750 0.000 0.909 1
Mg1 Mg 0.000 0.000 0.500 1
Mg2 Mg 0.063 0.500 0.805 1
Mg3 Mg 0.250 0.500 0.455 1
Mg4 Mg 0.437 0.500 0.805 1
Mg5 Mg 0.500 0.000 0.500 1
Mg6 Mg 0.563 0.500 0.195 1
Mg7 Mg 0.750 0.500 0.545 1
Mg8 Mg 0.937 0.500 0.195 1
Rh1 Rh 0.250 0.000 0.713 1
Rh2 Rh 0.750 0.000 0.287 1
```

Values from the calculation:
Distance to the lowest polymorph of the same formula, meV/atom: 0
Energy relative to the elements, eV/atom: -0.309



The following is a GGA-PBE calculation of a relaxed Y2MgRh crystal, from Alexandria.

```
data_Y2MgRh
_chemical_formula_sum 'Y2 Mg1 Rh1'
_space_group_name_H-M_alt 'P 1'
_space_group_IT_number 1
_space_group_name_Hall 'P 1'
_cell_length_a 3.741
_cell_length_b 6.600
_cell_length_c 6.600
_cell_angle_alpha 38.35
_cell_angle_beta 90.00
_cell_angle_gamma 90.00
loop_
_atom_site_label
_atom_site_type_symbol
_atom_site_fract_x
_atom_site_fract_y
_atom_site_fract_z
_atom_site_occupancy
Y1 Y 0.000 0.000 0.000 1
Y2 Y 0.500 0.313 0.313 1
Mg1 Mg 0.000 0.693 0.693 1
Rh1 Rh 0.500 0.534 0.534 1
```

Values from the calculation:
Energy relative to the elements, eV/atom: -0.389



The following is a GGA-PBE calculation of a relaxed Y2Mg2Rh crystal, from Alexandria.

```
data_Y2Mg2Rh
_chemical_formula_sum 'Y4 Mg4 Rh2'
_space_group_name_H-M_alt 'P 1'
_space_group_IT_number 1
_space_group_name_Hall 'P 1'
_cell_length_a 6.880
_cell_length_b 6.880
_cell_length_c 5.044
_cell_angle_alpha 90.00
_cell_angle_beta 90.00
_cell_angle_gamma 90.00
loop_
_atom_site_label
_atom_site_type_symbol
_atom_site_fract_x
_atom_site_fract_y
_atom_site_fract_z
_atom_site_occupancy
Y1 Y 0.177 0.323 0.000 1
Y2 Y 0.323 0.823 0.000 1
Y3 Y 0.677 0.177 0.000 1
Y4 Y 0.823 0.677 0.000 1
Mg1 Mg 0.145 0.645 0.500 1
Mg2 Mg 0.355 0.145 0.500 1
Mg3 Mg 0.645 0.855 0.500 1
Mg4 Mg 0.855 0.355 0.500 1
Rh1 Rh 0.000 0.000 0.500 1
Rh2 Rh 0.500 0.500 0.500 1
```

Values from the calculation:
Distance to the lowest polymorph of the same formula, meV/atom: 0
Energy relative to the elements, eV/atom: -0.098



The following is a GGA-PBE calculation of a relaxed Y5MgRh6 crystal, from Alexandria.

```
data_Y5MgRh6
_chemical_formula_sum 'Y5 Mg1 Rh6'
_space_group_name_H-M_alt 'P 1'
_space_group_IT_number 1
_space_group_name_Hall 'P 1'
_cell_length_a 8.296
_cell_length_b 8.296
_cell_length_c 4.779
_cell_angle_alpha 106.70
_cell_angle_beta 106.70
_cell_angle_gamma 119.80
loop_
_atom_site_label
_atom_site_type_symbol
_atom_site_fract_x
_atom_site_fract_y
_atom_site_fract_z
_atom_site_occupancy
Y1 Y 0.000 0.000 0.000 1
Y2 Y 0.170 0.830 0.500 1
Y3 Y 0.343 0.657 0.000 1
Y4 Y 0.657 0.343 0.000 1
Y5 Y 0.830 0.170 0.500 1
Mg1 Mg 0.500 0.500 0.500 1
Rh1 Rh 0.084 0.416 0.250 1
Rh2 Rh 0.246 0.246 0.746 1
Rh3 Rh 0.416 0.084 0.250 1
Rh4 Rh 0.584 0.916 0.750 1
Rh5 Rh 0.754 0.754 0.254 1
Rh6 Rh 0.916 0.584 0.750 1
```

Values from the calculation:
Energy relative to the elements, eV/atom: -0.798



The following is a GGA-PBE calculation of a relaxed Y2Mg3Rh2 crystal, from Alexandria.

```
data_Y2Mg3Rh2
_chemical_formula_sum 'Y2 Mg3 Rh2'
_space_group_name_H-M_alt 'P 1'
_space_group_IT_number 1
_space_group_name_Hall 'P 1'
_cell_length_a 5.511
_cell_length_b 5.511
_cell_length_c 7.251
_cell_angle_alpha 96.84
_cell_angle_beta 96.84
_cell_angle_gamma 44.16
loop_
_atom_site_label
_atom_site_type_symbol
_atom_site_fract_x
_atom_site_fract_y
_atom_site_fract_z
_atom_site_occupancy
Y1 Y 0.125 0.125 0.370 1
Y2 Y 0.875 0.875 0.630 1
Mg1 Mg 0.187 0.187 0.863 1
Mg2 Mg 0.500 0.500 0.000 1
Mg3 Mg 0.813 0.813 0.137 1
Rh1 Rh 0.407 0.407 0.342 1
Rh2 Rh 0.593 0.593 0.658 1
```

Values from the calculation:
Energy relative to the elements, eV/atom: -0.517



The following is a GGA-PBE calculation of a relaxed Y2MgRh crystal, from Alexandria.

```
data_Y2MgRh
_chemical_formula_sum 'Y2 Mg1 Rh1'
_space_group_name_H-M_alt 'P 1'
_space_group_IT_number 1
_space_group_name_Hall 'P 1'
_cell_length_a 3.884
_cell_length_b 3.884
_cell_length_c 8.755
_cell_angle_alpha 102.57
_cell_angle_beta 102.57
_cell_angle_gamma 59.74
loop_
_atom_site_label
_atom_site_type_symbol
_atom_site_fract_x
_atom_site_fract_y
_atom_site_fract_z
_atom_site_occupancy
Y1 Y 0.230 0.230 0.190 1
Y2 Y 0.770 0.770 0.810 1
Mg1 Mg 0.000 0.000 0.500 1
Rh1 Rh 0.500 0.500 0.000 1
```

Values from the calculation:
Energy relative to the elements, eV/atom: -0.349



The following is a GGA-PBE calculation of a relaxed Y2MgRh crystal, from Alexandria.

```
data_Y2MgRh
_chemical_formula_sum 'Y2 Mg1 Rh1'
_space_group_name_H-M_alt 'P 1'
_space_group_IT_number 1
_space_group_name_Hall 'P 1'
_cell_length_a 3.357
_cell_length_b 3.446
_cell_length_c 8.277
_cell_angle_alpha 90.00
_cell_angle_beta 90.00
_cell_angle_gamma 90.00
loop_
_atom_site_label
_atom_site_type_symbol
_atom_site_fract_x
_atom_site_fract_y
_atom_site_fract_z
_atom_site_occupancy
Y1 Y 0.000 0.000 0.000 1
Y2 Y 0.500 0.500 0.342 1
Mg1 Mg 0.000 0.000 0.627 1
Rh1 Rh 0.500 0.500 0.803 1
```

Values from the calculation:
Energy relative to the elements, eV/atom: -0.330



The following is a GGA-PBE calculation of a relaxed YMg9Rh2 crystal, from Alexandria.

```
data_YMg9Rh2
_chemical_formula_sum 'Y2 Mg18 Rh4'
_space_group_name_H-M_alt 'P 1'
_space_group_IT_number 1
_space_group_name_Hall 'P 1'
_cell_length_a 8.977
_cell_length_b 8.977
_cell_length_c 8.977
_cell_angle_alpha 100.10
_cell_angle_beta 100.10
_cell_angle_gamma 130.48
loop_
_atom_site_label
_atom_site_type_symbol
_atom_site_fract_x
_atom_site_fract_y
_atom_site_fract_z
_atom_site_occupancy
Y1 Y 0.375 0.625 0.750 1
Y2 Y 0.625 0.375 0.250 1
Mg1 Mg 0.125 0.875 0.250 1
Mg2 Mg 0.138 0.569 0.325 1
Mg3 Mg 0.138 0.813 0.569 1
Mg4 Mg 0.187 0.256 0.325 1
Mg5 Mg 0.187 0.862 0.931 1
Mg6 Mg 0.256 0.187 0.825 1
Mg7 Mg 0.256 0.431 0.069 1
Mg8 Mg 0.431 0.256 0.569 1
Mg9 Mg 0.431 0.862 0.175 1
Mg10 Mg 0.569 0.138 0.825 1
Mg11 Mg 0.569 0.744 0.431 1
Mg12 Mg 0.744 0.569 0.931 1
Mg13 Mg 0.744 0.813 0.175 1
Mg14 Mg 0.813 0.138 0.069 1
Mg15 Mg 0.813 0.744 0.675 1
Mg16 Mg 0.862 0.187 0.431 1
Mg17 Mg 0.862 0.431 0.675 1
Mg18 Mg 0.875 0.125 0.750 1
Rh1 Rh 0.000 0.000 0.000 1
Rh2 Rh 0.000 0.000 0.500 1
Rh3 Rh 0.000 0.500 0.000 1
Rh4 Rh 0.500 0.000 0.500 1
```

Values from the calculation:
Energy relative to the elements, eV/atom: -0.209



The following is a GGA-PBE calculation of a relaxed Y2MgRh crystal, from Alexandria.

```
data_Y2MgRh
_chemical_formula_sum 'Y4 Mg2 Rh2'
_space_group_name_H-M_alt 'P 1'
_space_group_IT_number 1
_space_group_name_Hall 'P 1'
_cell_length_a 6.599
_cell_length_b 6.599
_cell_length_c 6.599
_cell_angle_alpha 102.53
_cell_angle_beta 102.53
_cell_angle_gamma 124.48
loop_
_atom_site_label
_atom_site_type_symbol
_atom_site_fract_x
_atom_site_fract_y
_atom_site_fract_z
_atom_site_occupancy
Y1 Y 0.060 0.125 0.435 1
Y2 Y 0.375 0.940 0.065 1
Y3 Y 0.690 0.625 0.565 1
Y4 Y 0.875 0.310 0.935 1
Mg1 Mg 0.250 0.750 0.500 1
Mg2 Mg 0.500 0.500 0.000 1
Rh1 Rh 0.000 0.000 0.000 1
Rh2 Rh 0.750 0.250 0.500 1
```

Values from the calculation:
Energy relative to the elements, eV/atom: -0.153



| no. | uncorrected energy (eV/f.u.) |
| --- | --- |
| 1 | -45.029 |
| 2 | -46.539 |
| 3 | -22.051 |
| 4 | -23.430 |
| 5 | -23.960 |
| 6 | -87.603 |
| 7 | -36.031 |
| 8 | -23.271 |
| 9 | -23.196 |
| 10 | -38.024 |
| 11 | -22.485 |